A relaxed structure of K3U2AuSe6. Source: Alexandria via LeMat-Bulk, functional PBE. Values from VASP.

Summary:
E_tot: -5.2247 eV per atom
Formation energy (no corrections): -1054 meV per atom
Fermi-level density of states: 11.10 states/eV/cell
M_tot: 4.000 μB per cell

```
&SYSTEM
  ibrav = 0, nat = 12, ntyp = 4
/
ATOMIC_SPECIES
K 39.10 K.upf
U 238.03 U.upf
Au 196.97 Au.upf
Se 78.96 Se.upf
ATOMIC_POSITIONS crystal
K 0.000 0.000 0.000
K 0.347 0.653 0.000
K 0.653 0.347 0.000
U 0.167 0.833 0.500
U 0.833 0.167 0.500
Au 0.500 0.500 0.500
Se 0.058 0.436 0.282
Se 0.245 0.245 0.683
Se 0.436 0.058 0.282
Se 0.564 0.942 0.718
Se 0.755 0.755 0.317
Se 0.942 0.564 0.718
CELL_PARAMETERS angstrom
3.533 -6.655 0.000
3.533 6.655 0.000
-2.182 0.000 7.614
```